# 1
Computed, not measured: a geometry-optimized NaTlZnCd2 structure at the GGA-PBE level of DFT.

Cell: 5.0913 5.0913 5.5534 Å, 90.00 90.00 90.00°
With the nearest neighbours (Å) after each atom.
Atoms (fractional coordinates):
Zn (0.0000, 0.0000, 0.0000)  4 Cd 2.55, 2 Na 2.78
Na (0.0000, 0.0000, 0.5000)  2 Zn 2.78
Cd (0.0000, 0.5000, 0.0000)  2 Zn 2.55
Cd (0.5000, 0.0000, 0.0000)  2 Zn 2.55
Tl (0.5000, 0.5000, 0.5000)  4 Na 3.60, 8 Cd 3.77

total magnetic moment	0.00	μB per formula unit
space-group type	P4/mmm
E	-1.235	eV/atom
formation enthalpy at 0 K	0.123	eV/atom
density of states at the Fermi level	0.315	states/eV per atom
energy above the lowest structure with this stoichiometry	6	meV per atom


# 2
Computed, not measured: a geometry-optimized Sr2LiNiC structure at the GGA-PBE level of DFT.

Cell: 5.5887 5.5887 3.6904 Å, 90.00 90.00 90.00°
With the nearest neighbours (Å) after each atom.
Atoms (fractional coordinates):
Sr (0.0000, 0.5000, 0.0000)  2 C 2.79
Sr (0.5000, 0.0000, 0.0000)  2 C 2.79
Li (0.5000, 0.5000, 0.5000)  8 Sr 3.35, 2 Li 3.69
Ni (0.0000, 0.0000, 0.5000)  2 C 1.85
C (0.0000, 0.0000, 0.0000)  2 Ni 1.85

total magnetic moment	0.00	μB per formula unit
space-group type	P4/mmm
E	-3.965	eV/atom
formation enthalpy at 0 K	0.092	eV/atom
density of states at the Fermi level	0.748	states/eV per atom


# 3
Computed, not measured: a geometry-optimized TbEr2Hg4 structure at the GGA-PBE level of DFT.

Cell: 6.3203 6.3203 6.3203 Å, 109.88 109.27 109.27°
With the nearest neighbours (Å) after each atom.
Atoms (fractional coordinates):
Er (0.5000, 0.5000, 0.0000)  8 Hg 3.16
Er (0.5000, 0.0000, 0.5000)  8 Hg 3.16
Hg (0.5000, 0.0000, 0.0000)  4 Er 3.16, 2 Tb 3.16
Hg (0.0000, 0.5000, 0.0000)  4 Er 3.16, 2 Tb 3.16
Hg (0.5000, 0.5000, 0.5000)  4 Er 3.16, 2 Tb 3.16
Hg (0.0000, 0.0000, 0.5000)  2 Tb 3.16, 4 Er 3.16
Tb (0.0000, 0.0000, 0.0000)  8 Hg 3.16

total magnetic moment	0.00	μB per formula unit
space-group type	I4/mmm
E	-2.538	eV/atom
formation enthalpy at 0 K	-0.400	eV/atom
density of states at the Fermi level	0.357	states/eV per atom
energy above the lowest structure with this stoichiometry	0	meV per atom


The highest E belongs to which entry? NaTlZnCd2


Which formula does entry 2 have? Sr2LiNiC


Copy entry 3 word for word.
Computed, not measured: a geometry-optimized TbEr2Hg4 structure at the GGA-PBE level of DFT.

Cell: 6.3203 6.3203 6.3203 Å, 109.88 109.27 109.27°
With the nearest neighbours (Å) after each atom.
Atoms (fractional coordinates):
Er (0.5000, 0.5000, 0.0000)  8 Hg 3.16
Er (0.5000, 0.0000, 0.5000)  8 Hg 3.16
Hg (0.5000, 0.0000, 0.0000)  4 Er 3.16, 2 Tb 3.16
Hg (0.0000, 0.5000, 0.0000)  4 Er 3.16, 2 Tb 3.16
Hg (0.5000, 0.5000, 0.5000)  4 Er 3.16, 2 Tb 3.16
Hg (0.0000, 0.0000, 0.5000)  2 Tb 3.16, 4 Er 3.16
Tb (0.0000, 0.0000, 0.0000)  8 Hg 3.16

total magnetic moment	0.00	μB per formula unit
space-group type	I4/mmm
E	-2.538	eV/atom
formation enthalpy at 0 K	-0.400	eV/atom
density of states at the Fermi level	0.357	states/eV per atom
energy above the lowest structure with this stoichiometry	0	meV per atom